{"formula": "CsRbCu2Se2", "functional": "PBE", "state": "optimized geometry", "dos_ef_per_ev_atom": 0.000, "e_tot_ev_per_cell": -42.7, "space_group": "P2_1/m, No. 11", "total_magnetization_mub_per_atom": 0.00, "lattice": [[-4.145, -0.504, -3.038], [4.878, -1.081, -6.476], [-2.730, -9.473, 5.297]], "species": ["Cs", "Cs", "Rb", "Rb", "Cu", "Cu", "Cu", "Cu", "Se", "Se", "Se", "Se"], "frac_coords": [[0.250, 0.213, 0.928], [0.750, 0.787, 0.072], [0.750, 0.281, 0.572], [0.250, 0.719, 0.428], [0.500, 0.259, 0.262], [0.000, 0.259, 0.262], [0.000, 0.741, 0.738], [0.500, 0.741, 0.738], [0.250, 0.073, 0.322], [0.250, 0.559, 0.801], [0.750, 0.927, 0.678], [0.750, 0.441, 0.199]]}